# BaAsW2Br

Crystalline BaAsW2Br at its relaxed geometry (GGA-PBE, Alexandria).

Cell: 4.691 4.691 6.022 Å, 90.00 90.00 90.00°
Space group P4/mmm (No. 123)
Asymmetric unit:
Ba  0.000  0.000  0.000 (multiplicity 1)
As  0.500  0.500  0.000 (multiplicity 1)
W  0.000  0.500  0.500 (multiplicity 2)
Br  0.000  0.000  0.500 (multiplicity 1)

Output
DFT total energy = -0.1915 Ha/atom
Formation energy (no corrections) = 1618 meV per atom

---

# BaYAs2Br

Crystalline BaYAs2Br at its relaxed geometry (GGA-PBE, Alexandria).

Cell: 5.754 5.754 5.768 Å, 90.00 90.00 90.00°
Space group P4/mmm (No. 123)
Asymmetric unit:
Ba  0.000  0.000  0.000 (multiplicity 1)
Y  0.500  0.500  0.500 (multiplicity 1)
As  0.000  0.500  0.000 (multiplicity 2)
Br  0.000  0.000  0.500 (multiplicity 1)

Output
E above lowest polymorph = 112.4 kJ per mole of atoms
DFT total energy = -0.1366 Ha/atom
Formation energy (no corrections) = 154 meV per atom

---

# BaYAs2Br

Crystalline BaYAs2Br at its relaxed geometry (GGA-PBE, Alexandria).

Cell: 5.430 5.430 5.703 Å, 90.00 90.00 90.00°
Space group P4/mmm (No. 123)
Asymmetric unit:
Ba  0.000  0.000  0.000 (multiplicity 1)
Y  0.500  0.500  0.500 (multiplicity 1)
As  0.000  0.500  0.500 (multiplicity 2)
Br  0.500  0.500  0.000 (multiplicity 1)

Output
E above lowest polymorph = 0.0 kJ per mole of atoms
DFT total energy = -0.1794 Ha/atom
Formation energy (no corrections) = -1011 meV per atom

---

# Ba2AsC

Crystalline Ba2AsC at its relaxed geometry (GGA-PBE, Alexandria).

Cell: 8.023 8.023 8.425 Å, 90.00 90.00 90.00°
Space group I-42d (No. 122)
Asymmetric unit:
Ba  0.208  0.750  0.125 (multiplicity 8)
As  0.000  0.000  0.500 (multiplicity 4)
C  0.000  0.000  0.000 (multiplicity 4)

Output
ΔE_f = 446 meV per atom
E above lowest polymorph = 6.5 kJ per mole of atoms
DFT total energy = -0.1464 Ha/atom

---

# BaAs3C

Crystalline BaAs3C at its relaxed geometry (GGA-PBE, Alexandria).

Cell: 4.716 4.716 4.716 Å, 90.00 90.00 90.00°
Space group Pm-3m (No. 221)
Asymmetric unit:
Ba  0.000  0.000  0.000 (multiplicity 1)
As  0.000  0.500  0.500 (multiplicity 3)
C  0.500  0.500  0.500 (multiplicity 1)

Output
ΔE_f = 560 meV per atom
DFT total energy = -0.1639 Ha/atom

---

# Ba2AsC

Crystalline Ba2AsC at its relaxed geometry (GGA-PBE, Alexandria).

Cell: 7.820 7.820 7.820 Å, 90.00 90.00 90.00°
Space group Fm-3m (No. 225)
Asymmetric unit:
Ba  0.250  0.250  0.250 (multiplicity 8)
As  0.000  0.000  0.000 (multiplicity 4)
C  0.000  0.000  0.500 (multiplicity 4)

Output
ΔE_f = 378 meV per atom
E above lowest polymorph = 0.0 kJ per mole of atoms
DFT total energy = -0.1489 Ha/atom

---

# Ba3AsC

Crystalline Ba3AsC at its relaxed geometry (GGA-PBE, Alexandria).

Cell: 5.566 5.566 5.566 Å, 90.00 90.00 90.00°
Space group Pm-3m (No. 221)
Asymmetric unit:
Ba  0.000  0.000  0.500 (multiplicity 3)
As  0.500  0.500  0.500 (multiplicity 1)
C  0.000  0.000  0.000 (multiplicity 1)

Output
ΔE_f = -37 meV per atom
E above lowest polymorph = 0.0 kJ per mole of atoms
DFT total energy = -0.1457 Ha/atom

---

# BaAsC3

Crystalline BaAsC3 at its relaxed geometry (GGA-PBE, Alexandria).

Cell: 4.195 4.195 4.195 Å, 90.00 90.00 90.00°
Space group Pm-3m (No. 221)
Asymmetric unit:
Ba  0.000  0.000  0.000 (multiplicity 1)
As  0.500  0.500  0.500 (multiplicity 1)
C  0.000  0.500  0.500 (multiplicity 3)

Output
ΔE_f = 1929 meV per atom
E above lowest polymorph = 0.0 kJ per mole of atoms
DFT total energy = -0.1808 Ha/atom

---

# BaAsC3

Crystalline BaAsC3 at its relaxed geometry (GGA-PBE, Alexandria).

Cell: 4.798 4.798 4.798 Å, 90.00 90.00 90.00°
Space group Pm-3m (No. 221)
Asymmetric unit:
Ba  0.000  0.000  0.000 (multiplicity 1)
As  0.500  0.500  0.500 (multiplicity 1)
C  0.000  0.000  0.500 (multiplicity 3)

Output
ΔE_f = 3708 meV per atom
E above lowest polymorph = 171.6 kJ per mole of atoms
DFT total energy = -0.1154 Ha/atom

---

# BaHfAsC2

Crystalline BaHfAsC2 at its relaxed geometry (GGA-PBE, Alexandria).

Cell: 4.298 4.298 5.533 Å, 90.00 90.00 90.00°
Space group P4/mmm (No. 123)
Asymmetric unit:
Ba  0.000  0.000  0.000 (multiplicity 1)
Hf  0.500  0.500  0.000 (multiplicity 1)
As  0.000  0.000  0.500 (multiplicity 1)
C  0.000  0.500  0.500 (multiplicity 2)

Output
ΔE_f = 2448 meV per atom
DFT total energy = -0.1671 Ha/atom

---

# BaAsCO2

Crystalline BaAsCO2 at its relaxed geometry (GGA-PBE, Alexandria).

Cell: 4.245 4.245 4.764 Å, 90.00 90.00 90.00°
Space group P4/mmm (No. 123)
Asymmetric unit:
Ba  0.000  0.000  0.000 (multiplicity 1)
As  0.500  0.500  0.000 (multiplicity 1)
C  0.000  0.000  0.500 (multiplicity 1)
O  0.000  0.500  0.500 (multiplicity 2)

Output
DFT total energy = -0.1465 Ha/atom
Formation energy (no corrections) = 1156 meV per atom

---

# BaAs2CSe

Crystalline BaAs2CSe at its relaxed geometry (GGA-PBE, Alexandria).

Cell: 6.540 6.540 6.243 Å, 90.00 90.00 90.00°
Space group P4/mmm (No. 123)
Asymmetric unit:
Ba  0.000  0.000  0.000 (multiplicity 1)
As  0.000  0.500  0.000 (multiplicity 2)
C  0.500  0.500  0.500 (multiplicity 1)
Se  0.000  0.000  0.500 (multiplicity 1)

Output
E above lowest polymorph = 188.2 kJ per mole of atoms
DFT total energy = -0.0933 Ha/atom
Formation energy (no corrections) = 2248 meV per atom